DFT (PBE) results for crystalline Tb3ThTl4 at its relaxed geometry.

Cell and atoms, written as POSCAR:
```
Tb3ThTl4
1.0
-0.048 2.587 -4.932
-7.067 1.834 1.030
3.120 9.299 4.848
Tl Tb Th
8 6 2
Direct
0.500 0.759 0.000
0.500 0.759 0.500
0.500 0.241 0.000
0.500 0.241 0.500
0.073 0.758 0.750
0.927 0.758 0.250
0.927 0.242 0.250
0.073 0.242 0.750
0.000 0.000 0.000
0.000 0.000 0.500
0.567 0.000 0.750
0.433 0.000 0.250
0.565 0.500 0.750
0.435 0.500 0.250
0.000 0.500 0.000
0.000 0.500 0.500
```

## Properties
D(E_F) ... 8.027 states/eV per cell
Calculated formation energy ... -0.278 eV/atom
E ... -4.13 eV/atom